Entry a
The following is a GGA-PBE calculation of a relaxed BeAlTe crystal, from the Alexandria database.

Summary:
- Space group: P1
- Magnetization: 0.00 μB/atom
- Density of states at the Fermi level: 0.175 states/eV/atom

Lattice parameters (Å, degrees): 4.0467 4.1602 9.7358 87.56 89.41 60.99
Closest atoms and distances in Å follow each position.
Atoms (fractional coordinates):
Al (0.6892, 0.6537, 0.9664)  1 Be 2.31
Al (0.9353, 0.1519, 0.7609)  4 Be 2.35-2.61
Te (0.7334, 0.5870, 0.4993)  4 Be 2.49-2.64
Te (0.3654, 0.2941, 0.1004)  3 Al 2.71-2.72
Be (0.3936, 0.2575, 0.5916)  1 Be 2.05
Be (0.5953, 0.8305, 0.7357)  1 Be 2.05

=====

Entry b
The following is a GGA-PBE calculation of a relaxed BeAlTe crystal, from the Alexandria database.

Summary:
- Space group: P1
- Magnetization: 0.00 μB/atom
- Density of states at the Fermi level: 0.224 states/eV/atom

Lattice parameters (Å, degrees): 3.8898 6.0476 6.2318 104.72 107.29 108.49
Closest atoms and distances in Å follow each position.
Atoms (fractional coordinates):
Al (0.7422, 0.9905, 0.1543)  1 Be 2.51
Al (0.6267, 0.5450, 0.7792)  4 Be 2.62-2.73, 1 Al 2.89
Be (0.9593, 0.4955, 0.4632)  1 Be 2.15
Be (0.8627, 0.1908, 0.5902)  1 Be 2.15
Te (0.3085, 0.9810, 0.6850)  3 Be 2.45-2.58
Te (0.3122, 0.4514, 0.1974)  2 Be 2.45-2.46

=====

Entry c
The following is a GGA-PBE calculation of a relaxed BeAlTe crystal, from the Alexandria database.

Summary:
- Space group: Cm
- Magnetization: 0.00 μB/atom
- Density of states at the Fermi level: 0.261 states/eV/atom

Lattice parameters (Å, degrees): 5.8361 3.7561 6.4878 90.00 112.19 90.00
Closest atoms and distances in Å follow each position.
Atoms (fractional coordinates):
Te (0.1401, 0.5000, 0.5829)  3 Be 2.46
Te (0.1401, 0.0000, 0.0829)  3 Be 2.46
Al (0.6228, 0.5000, 0.4137)  3 Be 2.60, 1 Te 2.80
Al (0.6228, 0.0000, 0.9137)  3 Be 2.60, 1 Te 2.80
Be (0.3557, 0.5000, 0.9895)  3 Te 2.46, 3 Al 2.60
Be (0.3557, 0.0000, 0.4895)  3 Te 2.46, 3 Al 2.60

=====

Result of the stability comparison: entry c is the least stable of them.